# 1
VASP calculation (GGA-PBE) on a geometry-optimized ReBiPb2O6 structure.

abc: 5.968 5.968 5.968
angles: 60.00 60.00 60.00
Each line ends with the local moment (μB).
Fractional positions:
O: 0.229 0.229 0.771  0.01
O: 0.229 0.771 0.771  0.02
O: 0.771 0.229 0.229  0.02
O: 0.229 0.771 0.229  0.02
O: 0.771 0.771 0.229  0.01
O: 0.771 0.229 0.771  0.02
Bi: 0.500 0.500 0.500  0.02
Re: 0.000 0.000 0.000  1.31
Pb: 0.750 0.750 0.750  0.09
Pb: 0.250 0.250 0.250  0.09

## Properties
Volume (Å³ per cell): 150.3
Mass density (kg/m³): 10005
Electronic total energy (eV per atom): -6.462

=====

# 2
VASP calculation (GGA-PBE) on a geometry-optimized Pr2Ho2CI2Br2Cl structure.

abc: 9.713 9.713 8.248
angles: 102.09 102.09 23.44
Fractional positions:
Pr: 0.000 0.000 0.785
Pr: 0.000 0.000 0.215
Cl: 0.500 0.500 0.500
I: 0.827 0.827 0.178
I: 0.173 0.173 0.822
Ho: 0.629 0.629 0.068
Ho: 0.371 0.371 0.932
C: 0.500 0.500 0.000
Br: 0.838 0.838 0.675
Br: 0.162 0.162 0.325

## Properties
Volume (Å³ per cell): 302.4
Mass density (kg/m³): 5891
Electronic total energy (eV per atom): -4.961
Energy above the most stable polymorph in this dataset (eV per atom): 0.000

=====

# 3
VASP calculation (GGA-PBE) on a geometry-optimized Y4InAuC2 structure.

abc: 3.654 3.654 15.141
angles: 90.00 90.00 120.00
Fractional positions:
Y: 0.667 0.333 0.852
Y: 0.000 0.000 0.675
Y: 0.000 0.000 0.325
Y: 0.667 0.333 0.148
Au: 0.000 0.000 0.000
C: 0.333 0.667 0.234
C: 0.333 0.667 0.766
In: 0.667 0.333 0.500

## Properties
Volume (Å³ per cell): 175.1
Mass density (kg/m³): 6557
Electronic total energy (eV per atom): -6.750

=====

# 4
VASP calculation (GGA-PBE) on a geometry-optimized BaHfGa structure.

abc: 5.104 5.104 5.104
angles: 60.00 60.00 60.00
Each line ends with the local moment (μB).
Fractional positions:
Ga: 0.250 0.250 0.250  -0.02
Hf: 0.000 0.000 0.000  0.43
Ba: 0.500 0.500 0.500  0.10

## Properties
Volume (Å³ per cell): 94.0
Mass density (kg/m³): 6810
Electronic total energy (eV per atom): -4.433
Energy above the most stable polymorph in this dataset (eV per atom): 0.000

=====

# 5
VASP calculation (GGA-PBE) on a geometry-optimized CsGdSiTe3 structure.

abc: 8.561 8.561 12.108
angles: 90.00 90.00 147.56
Fractional positions:
Te: 0.551 0.449 0.750
Te: 0.879 0.121 0.553
Te: 0.121 0.879 0.053
Te: 0.121 0.879 0.447
Te: 0.449 0.551 0.250
Te: 0.879 0.121 0.947
Si: 0.966 0.034 0.750
Si: 0.034 0.966 0.250
Cs: 0.753 0.247 0.250
Cs: 0.247 0.753 0.750
Gd: 0.500 0.500 0.500
Gd: 0.500 0.500 0.000

## Properties
Volume (Å³ per cell): 476.1
Mass density (kg/m³): 4890
Electronic total energy (eV per atom): -4.171

=====

# 6
VASP calculation (GGA-PBE) on a geometry-optimized NaTb3Nd structure.

abc: 3.494 5.714 8.839
angles: 107.82 98.62 90.76
Fractional positions:
Tb: 0.331 0.272 0.333
Tb: 0.406 0.862 0.528
Tb: 0.771 0.690 0.161
Nd: 0.969 0.445 0.711
Na: 0.397 0.065 0.934

## Properties
Volume (Å³ per cell): 165.8
Mass density (kg/m³): 6450
Electronic total energy (eV per atom): -3.838

=====

Look up the volume of the third one.
175.1 Å³ per cell

=====

The highest electronic total energy belongs to which entry?
NaTb3Nd

=====

Among the records above, which one has the lowest volume?
BaHfGa